A plane-wave DFT calculation with GGA+U was carried out for a relaxed structure of NiBNO2.

Cell and atoms, written as CIF:
```
data_NiBNO2
_cell_length_a 3.754
_cell_length_b 3.754
_cell_length_c 2.891
_cell_angle_alpha 90.00
_cell_angle_beta 90.00
_cell_angle_gamma 90.00
_symmetry_space_group_name_H-M 'P 4/m m m'
_symmetry_Int_Tables_number 123
_symmetry_space_group_name_Hall '-P 4 2'
loop_
_atom_site_label
_atom_site_type_symbol
_atom_site_fract_x
_atom_site_fract_y
_atom_site_fract_z
Ni1 Ni 0.000 0.000 0.000
B1 B 0.500 0.500 0.500
N1 N 0.500 0.500 0.000
O1 O 0.000 0.500 0.500
```

Summary:
Uncorrected energy (eV per cell): -25.69
ρ (g cm⁻³): 4.708
DOS at the Fermi energy (states/eV/atom): 0.580